Entry from the Alexandria database: a relaxed Sm2Ga3Ru2 crystal (GGA-PBE).

Geometry as POSCAR:
```
Sm2Ga3Ru2
1.0
11.9935 0.0000 0.0000
0.0000 4.6368 0.0000
-0.5765 0.0000 6.0427
Sm Ga Ru
4 6 4
Direct
0.1112 0.0000 0.2755
0.3888 0.5000 0.7245
0.6112 0.5000 0.2755
0.8888 0.0000 0.7245
0.0000 0.5000 0.0000
0.1790 0.0000 0.7672
0.3210 0.5000 0.2328
0.5000 0.0000 0.0000
0.6790 0.5000 0.7672
0.8210 0.0000 0.2328
0.1821 0.5000 0.8956
0.3179 0.0000 0.1044
0.6821 0.0000 0.8956
0.8179 0.5000 0.1044
```

Computed properties:
The value obtained for the formation energy is -1.494 eV per formula unit. As for the calculated volume: 24.003 A^3/atom. For the density, the calculation gives 7.0 Mg/m³. Its space-group type is C2/m. The calculation puts the energy at -77.13 eV per cell.


Entry from the Alexandria database: a relaxed SrBiSCl2 crystal (GGA-PBE).

Geometry as POSCAR:
```
SrBiSCl2
1.0
5.3641 0.0000 0.0000
0.0000 5.3641 0.0000
0.0000 0.0000 5.9306
Sr Bi S Cl
1 1 1 2
Direct
0.0000 0.0000 0.0000
0.5000 0.5000 0.5000
0.0000 0.0000 0.5000
0.0000 0.5000 0.0000
0.5000 0.0000 0.0000
```

Computed properties:
As for the calculated volume: 34.129 A^3/atom. The relative energy among the computed polymorphs comes out at 0.115 eV per atom. For the density, the calculation gives 3.9 Mg/m³. Its space-group type is P4/mmm. The calculation puts the energy at -17.19 eV per cell.


Entry from the Alexandria database: a relaxed TmInRh2 crystal (GGA-PBE).

Geometry as POSCAR:
```
TmInRh2
1.0
6.5888 0.0000 0.0000
0.0000 6.5888 0.0000
0.0000 0.0000 6.5888
Tm In Rh
4 4 8
Direct
0.0000 0.0000 0.0000
0.0000 0.5000 0.5000
0.5000 0.0000 0.5000
0.5000 0.5000 0.0000
0.0000 0.0000 0.5000
0.0000 0.5000 0.0000
0.5000 0.0000 0.0000
0.5000 0.5000 0.5000
0.2500 0.2500 0.2500
0.2500 0.2500 0.7500
0.2500 0.7500 0.2500
0.2500 0.7500 0.7500
0.7500 0.2500 0.2500
0.7500 0.2500 0.7500
0.7500 0.7500 0.2500
0.7500 0.7500 0.7500
```

Computed properties:
The value obtained for the formation energy is -3.236 eV per formula unit. As for the calculated volume: 17.877 A^3/atom. For the density, the calculation gives 11.4 Mg/m³. Its space-group type is Fm-3m. The calculation puts the energy at -100.59 eV per cell.


Entry from the Alexandria database: a relaxed Ba3LiCu2H9 crystal (GGA-PBE).

Geometry as POSCAR:
```
Ba3LiCu2H9
1.0
5.6173 0.0000 0.0000
-2.8087 4.8648 0.0000
0.0000 0.0000 6.8765
Ba Li Cu H
3 1 2 9
Direct
0.0000 0.0000 0.0000
0.3333 0.6667 0.6755
0.6667 0.3333 0.3245
0.0000 0.0000 0.5000
0.3333 0.6667 0.1790
0.6667 0.3333 0.8210
0.0000 0.5000 0.0000
0.1764 0.3528 0.3229
0.1764 0.8236 0.3229
0.3528 0.1764 0.6771
0.5000 0.0000 0.0000
0.5000 0.5000 0.0000
0.6472 0.8236 0.3229
0.8236 0.1764 0.6771
0.8236 0.6472 0.6771
```

Computed properties:
As for the calculated volume: 12.528 A^3/atom. For the density, the calculation gives 4.9 Mg/m³. Its space-group type is P-3m1. The calculation puts the energy at -51.54 eV per cell.


Entry from the Alexandria database: a relaxed ZrGa3Se crystal (GGA-PBE).

Geometry as POSCAR:
```
ZrGa3Se
1.0
4.9221 0.0000 0.0000
0.0000 4.9221 0.0000
0.0000 0.0000 4.9221
Zr Ga Se
1 3 1
Direct
0.0000 0.0000 0.0000
0.0000 0.5000 0.5000
0.5000 0.0000 0.5000
0.5000 0.5000 0.0000
0.5000 0.5000 0.5000
```

Computed properties:
As for the calculated volume: 23.849 A^3/atom. The relative energy among the computed polymorphs comes out at 0.000 eV per atom. For the density, the calculation gives 5.3 Mg/m³. Its space-group type is Pm-3m. The calculation puts the energy at -18.07 eV per cell.


Entry from the Alexandria database: a relaxed BaCaAcMg crystal (GGA-PBE).

Geometry as POSCAR:
```
BaCaAcMg
1.0
8.7234 0.0000 0.0000
0.0000 8.7234 0.0000
0.0000 0.0000 8.7234
Ba Ca Ac Mg
4 4 4 4
Direct
0.0000 0.0000 0.0000
0.0000 0.5000 0.5000
0.5000 0.0000 0.5000
0.5000 0.5000 0.0000
0.0000 0.0000 0.5000
0.0000 0.5000 0.0000
0.5000 0.0000 0.0000
0.5000 0.5000 0.5000
0.2500 0.2500 0.7500
0.2500 0.7500 0.2500
0.7500 0.2500 0.2500
0.7500 0.7500 0.7500
0.2500 0.2500 0.2500
0.2500 0.7500 0.7500
0.7500 0.2500 0.7500
0.7500 0.7500 0.2500
```

Computed properties:
The value obtained for the formation energy is 0.562 eV per formula unit. As for the calculated volume: 41.490 A^3/atom. For the density, the calculation gives 4.3 Mg/m³. Its space-group type is F-43m. The calculation puts the energy at -36.26 eV per cell.


Entry from the Alexandria database: a relaxed MgHg4Au crystal (GGA-PBE).

Geometry as POSCAR:
```
MgHg4Au
1.0
0.0000 4.1633 4.1633
4.1633 0.0000 4.1633
4.1633 4.1633 0.0000
Mg Hg Au
1 4 1
Direct
0.0000 0.0000 0.0000
0.3751 0.3751 0.3751
0.3751 0.3751 0.8746
0.3751 0.8746 0.3751
0.8746 0.3751 0.3751
0.7500 0.7500 0.7500
```

Computed properties:
The value obtained for the formation energy is 1.286 eV per formula unit. As for the calculated volume: 24.055 A^3/atom. For the density, the calculation gives 11.8 Mg/m³. Its space-group type is F-43m. The calculation puts the energy at -4.79 eV per cell.


Entry from the Alexandria database: a relaxed TcIrRh2 crystal (GGA-PBE).

Geometry as POSCAR:
```
TcIrRh2
1.0
9.0671 0.0000 0.0000
0.0000 2.7144 0.0000
-0.8014 0.0000 4.6510
Tc Ir Rh
2 2 4
Direct
0.0000 0.0000 0.0000
0.5000 0.5000 0.0000
0.2530 0.0000 0.7577
0.7530 0.5000 0.7577
0.0033 0.5000 0.5040
0.2490 0.5000 0.2515
0.5033 0.0000 0.5040
0.7490 0.0000 0.2515
```

Computed properties:
The value obtained for the formation energy is -0.280 eV per formula unit. As for the calculated volume: 14.309 A^3/atom. The relative energy among the computed polymorphs comes out at 0.030 eV per atom. For the density, the calculation gives 14.4 Mg/m³. Its space-group type is Cm. The calculation puts the energy at -68.42 eV per cell.


Entry from the Alexandria database: a relaxed NaAg3Sn3 crystal (GGA-PBE).

Geometry as POSCAR:
```
NaAg3Sn3
1.0
3.8201 2.2055 7.0272
-3.8201 2.2055 7.0272
0.0000 -4.4110 7.0272
Na Ag Sn
2 6 6
Direct
0.0979 0.0979 0.0979
0.9021 0.9021 0.9021
0.1936 0.1936 0.5770
0.1936 0.5770 0.1936
0.4230 0.8064 0.8064
0.5770 0.1936 0.1936
0.8064 0.4230 0.8064
0.8064 0.8064 0.4230
0.1483 0.5799 0.5799
0.4201 0.4201 0.8517
0.4201 0.8517 0.4201
0.5799 0.1483 0.5799
0.5799 0.5799 0.1483
0.8517 0.4201 0.4201
```

Computed properties:
The value obtained for the formation energy is 0.066 eV per formula unit. As for the calculated volume: 25.374 A^3/atom. The relative energy among the computed polymorphs comes out at 0.034 eV per atom. For the density, the calculation gives 6.6 Mg/m³. Its space-group type is R-3m. The calculation puts the energy at -43.63 eV per cell.


Entry from the Alexandria database: a relaxed LiCrGaRh crystal (GGA-PBE).

Geometry as POSCAR:
```
LiCrGaRh
1.0
6.0250 0.0000 0.0000
0.0000 6.0250 0.0000
0.0000 0.0000 6.0250
Li Cr Ga Rh
4 4 4 4
Direct
0.0000 0.0000 0.0000
0.0000 0.5000 0.5000
0.5000 0.0000 0.5000
0.5000 0.5000 0.0000
0.2500 0.2500 0.7500
0.2500 0.7500 0.2500
0.7500 0.2500 0.2500
0.7500 0.7500 0.7500
0.0000 0.0000 0.5000
0.0000 0.5000 0.0000
0.5000 0.0000 0.0000
0.5000 0.5000 0.5000
0.2500 0.2500 0.2500
0.2500 0.7500 0.7500
0.7500 0.2500 0.7500
0.7500 0.7500 0.2500
```

Computed properties:
The value obtained for the formation energy is -0.809 eV per formula unit. As for the calculated volume: 13.669 A^3/atom. For the density, the calculation gives 7.0 Mg/m³. Its space-group type is F-43m. The calculation puts the energy at -90.90 eV per cell.


Entry from the Alexandria database: a relaxed LiLaFe3 crystal (GGA-PBE).

Geometry as POSCAR:
```
LiLaFe3
1.0
4.7236 0.0000 0.0000
0.0000 4.7236 0.0000
0.0000 0.0000 4.7236
Li La Fe
1 1 3
Direct
0.0000 0.0000 0.0000
0.5000 0.5000 0.5000
0.0000 0.5000 0.5000
0.5000 0.0000 0.5000
0.5000 0.5000 0.0000
```

Computed properties:
The value obtained for the formation energy is 7.792 eV per formula unit. As for the calculated volume: 21.078 A^3/atom. The relative energy among the computed polymorphs comes out at 0.790 eV per atom. For the density, the calculation gives 4.9 Mg/m³. Its space-group type is Pm-3m. The calculation puts the energy at -24.44 eV per cell.


Entry from the Alexandria database: a relaxed V5Pd4Rh crystal (GGA-PBE).

Geometry as POSCAR:
```
V5Pd4Rh
1.0
2.6962 0.0000 0.0000
0.0000 2.6962 0.0000
0.0000 0.0000 19.4165
V Pd Rh
5 4 1
Direct
0.0000 0.0000 0.0000
0.0000 0.0000 0.2021
0.0000 0.0000 0.4050
0.0000 0.0000 0.5950
0.0000 0.0000 0.7979
0.5000 0.5000 0.1009
0.5000 0.5000 0.3023
0.5000 0.5000 0.6977
0.5000 0.5000 0.8991
0.5000 0.5000 0.5000
```

Computed properties:
The value obtained for the formation energy is -2.326 eV per formula unit. As for the calculated volume: 14.115 A^3/atom. For the density, the calculation gives 9.2 Mg/m³. Its space-group type is P4/mmm. The calculation puts the energy at -76.04 eV per cell.


Question: What is the formula in the first record?
Answer: Sm2Ga3Ru2


Question: Which formula does entry 11 have?
Answer: LiLaFe3